Entry from Alexandria via LeMat-Bulk: a relaxed structure of SiNi3W2 (PBE-GGA).

The calculation puts the distance to the lowest polymorph of the same formula at 0 meV per atom. As for the density of states at the Fermi level: 14.355 states/eV per cell. The formation energy without anion corrections comes out at -0.29 eV per atom. For the magnetization, the calculation gives 0.01 μB per cell.

It has space group P6_3/mmc (No. 194), with a = 4.7549 Å, b = 4.7549 Å, c = 7.5498 Å, α = 90.00°, β = 90.00° and γ = 120.00°. The asymmetric unit holds Si at (0.0000, 0.0000, 0.0000), Ni at (0.1693, 0.3385, 0.2500) and W at (0.3333, 0.6667, 0.5637).

---

Entry from Alexandria via LeMat-Bulk: a relaxed structure of SiNiW3 (PBE-GGA).

The calculation puts the distance to the lowest polymorph of the same formula at 0 meV per atom. As for the density of states at the Fermi level: 6.316 states/eV per cell. The formation energy without anion corrections comes out at 1.54 eV per atom. For the magnetization, the calculation gives 0.00 μB per cell.

It has space group Pm-3m (No. 221), with a = 4.455 Å, b = 4.455 Å, c = 4.455 Å, α = 90.00°, β = 90.00° and γ = 90.00°. The asymmetric unit holds Si at (0.000, 0.000, 0.000), Ni at (0.500, 0.500, 0.500) and W at (0.000, 0.000, 0.500).

---

Entry from Alexandria via LeMat-Bulk: a relaxed structure of SiNiW2 (PBE-GGA).

As for the density of states at the Fermi level: 4.037 states/eV per cell. The formation energy without anion corrections comes out at -0.01 eV per atom. For the magnetization, the calculation gives 0.00 μB per cell.

It has space group Cmm2 (No. 35), with a = 3.309 Å, b = 4.334 Å, c = 7.835 Å, α = 90.00°, β = 90.00° and γ = 90.00°. The asymmetric unit holds Si at (0.000, 0.000, 0.000), Ni at (0.000, 0.500, 0.797), W at (0.000, 0.000, 0.540) and W at (0.000, 0.500, 0.256).

---

Entry from Alexandria via LeMat-Bulk: a relaxed structure of SiNiW2 (PBE-GGA).

As for the density of states at the Fermi level: 13.769 states/eV per cell. The formation energy without anion corrections comes out at 0.19 eV per atom. For the magnetization, the calculation gives 0.00 μB per cell.

It has space group R-3m (No. 166, hexagonal axes), with a = 2.7719 Å, b = 2.7719 Å, c = 25.7840 Å, α = 90.00°, β = 90.00° and γ = 120.00°. The asymmetric unit holds Si at (0.0000, 0.0000, 0.0000), Ni at (0.0000, 0.0000, 0.5000) and W at (0.0000, 0.0000, 0.2495).

---

Entry from Alexandria via LeMat-Bulk: a relaxed structure of Si4NiW (PBE-GGA).

As for the density of states at the Fermi level: 12.772 states/eV per cell. The formation energy without anion corrections comes out at 0.40 eV per atom. For the magnetization, the calculation gives 0.00 μB per cell.

It has space group F-43m (No. 216), with a = 6.777 Å, b = 6.777 Å, c = 6.777 Å, α = 90.00°, β = 90.00° and γ = 90.00°. The asymmetric unit holds Si at (0.125, 0.125, 0.125), Ni at (0.000, 0.000, 0.500) and W at (0.250, 0.250, 0.750).

---

Entry from Alexandria via LeMat-Bulk: a relaxed structure of SiNiW2 (PBE-GGA).

As for the density of states at the Fermi level: 18.612 states/eV per cell. The formation energy without anion corrections comes out at 0.16 eV per atom. For the magnetization, the calculation gives 0.01 μB per cell.

It has space group F-43m (No. 216), with a = 6.094 Å, b = 6.094 Å, c = 6.094 Å, α = 90.00°, β = 90.00° and γ = 90.00°. The asymmetric unit holds Si at (0.000, 0.000, 0.000), Ni at (0.250, 0.250, 0.250), W at (0.000, 0.000, 0.500) and W at (0.250, 0.250, 0.750).

---

Entry from Alexandria via LeMat-Bulk: a relaxed structure of SiNi3W2 (PBE-GGA).

The calculation puts the distance to the lowest polymorph of the same formula at 66 meV per atom. As for the density of states at the Fermi level: 19.812 states/eV per cell. The formation energy without anion corrections comes out at -0.23 eV per atom. For the magnetization, the calculation gives 0.00 μB per cell.

It has space group Amm2 (No. 38), with a = 7.613 Å, b = 4.776 Å, c = 8.159 Å, α = 90.00°, β = 90.00° and γ = 90.00°. The asymmetric unit holds Si at (0.000, 0.246, 0.000), Ni at (0.000, 0.000, 0.764), Ni at (0.240, 0.000, 0.574), Ni at (0.500, 0.000, 0.410), Ni at (0.500, 0.246, 0.164), W at (0.191, 0.000, 0.244) and W at (0.317, 0.000, 0.914).

---

Entry from Alexandria via LeMat-Bulk: a relaxed structure of SiNiW2 (PBE-GGA).

As for the density of states at the Fermi level: 6.302 states/eV per cell. The formation energy without anion corrections comes out at 0.47 eV per atom. For the magnetization, the calculation gives 0.00 μB per cell.

It has space group I-42d (No. 122), with a = 6.692 Å, b = 6.692 Å, c = 5.288 Å, α = 90.00°, β = 90.00° and γ = 90.00°. The asymmetric unit holds Si at (0.000, 0.000, 0.000), Ni at (0.000, 0.000, 0.500) and W at (0.249, 0.750, 0.625).